! NiAg2HgF6 | the Alexandria database | PBE with a Hubbard U | optimized geometry; values from VASP
! Symmetry ... P2_1/c (14)
! Magnetization ... 0.209 μB/atom
! Uncorrected energy ... -68.77 eV for the cell shown
&SYSTEM
  ibrav = 0, nat = 20, ntyp = 4
/
ATOMIC_SPECIES
F 19.00 F.upf
Ag 107.87 Ag.upf
Ni 58.69 Ni.upf
Hg 200.59 Hg.upf
ATOMIC_POSITIONS angstrom
F -0.7348 1.1321 4.2141
F 2.7853 2.2378 1.8835
Ag 4.2479 4.4155 4.7508
Ni -0.4656 -0.4127 2.9164
F -0.0803 0.9332 1.4389
F 3.9627 3.2836 6.9623
Hg -1.0126 2.7129 0.2222
F 2.0011 5.1095 6.0185
F 4.8666 6.4141 6.4631
Ni 2.8588 4.0863 1.0346
F 5.3134 2.3748 4.0002
Ag 1.0453 0.0244 5.8698
F 2.0704 2.3832 5.0365
Ag 3.7411 7.3229 2.0322
F 2.7159 4.9641 2.8655
F -0.5270 4.9725 3.9018
Hg 3.4058 0.9608 3.7288
F 5.5212 6.2152 3.6879
F 0.8237 4.0637 0.9397
Ag 0.5385 2.9319 3.1512
CELL_PARAMETERS angstrom
-2.0253 5.4257 0.4444
-0.9312 -0.8253 5.8328
7.7429 2.7470 1.6248